Below is crystalline Ce3Co6Si2 at its relaxed geometry, with properties calculated at the GGA-PBE level.

```
Ce3Co6Si2
1.0
-4.344 4.344 4.344
4.344 -4.344 4.344
4.344 4.344 -4.344
Ce Co Si
6 12 4
Direct
0.000 0.282 0.282
0.000 0.718 0.718
0.282 0.000 0.282
0.282 0.282 0.000
0.718 0.000 0.718
0.718 0.718 0.000
0.000 0.348 0.652
0.000 0.652 0.348
0.304 0.652 0.652
0.348 0.000 0.652
0.348 0.348 0.696
0.348 0.652 0.000
0.348 0.696 0.348
0.652 0.000 0.348
0.652 0.304 0.652
0.652 0.348 0.000
0.652 0.652 0.304
0.696 0.348 0.348
0.000 0.000 0.500
0.000 0.500 0.000
0.500 0.000 0.000
0.500 0.500 0.500
```

Properties
crystal system = cubic
formation energy without anion corrections = -503 meV per atom
DOS at the Fermi energy = 14.920 states/eV per cell
energy = -6.983 eV per atom
symmetry = Im-3m
calculated volume = 14.90 Å³/atom